A plane-wave DFT calculation with PBE was carried out for an optimized crystal structure of ZrTi2Te6.

- Space group: P-31m (162)
- Energy relative to the elements, uncorrected: -17.24 kcal/mol of atoms

Cell and atoms, written as POSCAR:
```
ZrTi2Te6
1.0
6.674 0.000 0.000
-3.337 5.780 0.000
0.000 0.000 6.760
Zr Ti Te
1 2 6
direct
0.000 0.000 0.000
0.333 0.667 0.000
0.667 0.333 0.000
0.000 0.345 0.258
0.000 0.655 0.742
0.345 0.000 0.258
0.345 0.345 0.742
0.655 0.000 0.742
0.655 0.655 0.258
```